## LiP2IO (meta-GGA SCAN)

Data for a crystal of LiP2IO relaxed with PBEsol.

a b c (Å): 5.2494 5.2494 3.8930
angles (deg): 90.00 90.00 90.00
Last column: nearest neighbours and their distance in Å.
Fractional coordinates of all 5 atoms:
Li 0.0000 0.0000 0.0000  8 P 3.27
P 0.0000 0.5000 0.5000  2 I 2.62
P 0.5000 0.0000 0.5000  2 I 2.62
I 0.5000 0.5000 0.5000  2 O 1.95
O 0.5000 0.5000 0.0000  2 I 1.95

Results
- Energy relative to the elements, uncorrected: 0.742 eV per atom
- VASP energy: -12.490 eV/atom